(1)
Material: NiTe3Rh
Method: DFT, PBE
State: relaxed

Values from the calculation:
Symmetry = C2/c (15)
Formation energy without anion corrections = -0.19 eV/atom
Energy relative to the lowest polymorph listed for this composition = 0 kJ/mol of formula units
Crystal system = monoclinic
Magnetization = 0.00 μB/f.u.

Cell: 8.5912 8.5912 6.5252 Å, 104.54 104.54 83.09°
Last column: nearest neighbours and their distance in Å.
Fractional coordinates of all 20 atoms:
Ni: 0.0873 0.9127 0.7500  6 Te 2.62-2.77, 2 Rh 2.92
Ni: 0.4054 0.5946 0.2500  6 Te 2.61-2.67
Ni: 0.5946 0.4054 0.7500  6 Te 2.61-2.67
Ni: 0.9127 0.0873 0.2500  6 Te 2.62-2.77, 2 Rh 2.92
Te: 0.0455 0.2122 0.0121  2 Ni 2.62-2.75, 2 Rh 2.72-2.77
Te: 0.1499 0.6516 0.4268  2 Ni 2.67-2.77, 2 Rh 2.68-2.70
Te: 0.2122 0.0455 0.5121  2 Ni 2.62-2.75, 2 Rh 2.72-2.77
Te: 0.3180 0.4183 0.8556  2 Ni 2.61-2.62, 2 Rh 2.68-2.69
Te: 0.3484 0.8501 0.0732  2 Ni 2.67-2.77, 2 Rh 2.68-2.70
Te: 0.4183 0.3180 0.3556  2 Ni 2.61-2.62, 2 Rh 2.68-2.69
Te: 0.5817 0.6820 0.6444  2 Ni 2.61-2.62, 2 Rh 2.68-2.69
Te: 0.6516 0.1499 0.9268  2 Ni 2.67-2.77, 2 Rh 2.68-2.70
Te: 0.6820 0.5817 0.1444  2 Ni 2.61-2.62, 2 Rh 2.68-2.69
Te: 0.7878 0.9545 0.4879  2 Ni 2.62-2.75, 2 Rh 2.72-2.77
Te: 0.8501 0.3484 0.5732  2 Ni 2.67-2.77, 2 Rh 2.68-2.70
Te: 0.9545 0.7878 0.9879  2 Ni 2.62-2.75, 2 Rh 2.72-2.77
Rh: 0.1288 0.3493 0.4534  6 Te 2.68-2.77, 1 Ni 2.92
Rh: 0.3493 0.1288 0.9534  6 Te 2.68-2.77, 1 Ni 2.92
Rh: 0.6507 0.8712 0.0466  6 Te 2.68-2.77, 1 Ni 2.92
Rh: 0.8712 0.6507 0.5466  6 Te 2.68-2.77, 1 Ni 2.92

(2)
Material: NiTe12Rh5
Method: DFT, PBE
State: relaxed

Values from the calculation:
Symmetry = C2/m (12)
Formation energy without anion corrections = -0.35 eV/atom
Crystal system = monoclinic
Magnetization = 0.00 μB/f.u.

Cell: 6.7929 6.7929 11.5241 Å, 90.05 90.05 118.77°
Last column: nearest neighbours and their distance in Å.
Fractional coordinates of all 18 atoms:
Ni: 0.0000 0.0000 0.0000  6 Te 2.57-2.60
Te: 0.0043 0.3308 0.1163  1 Ni 2.60, 2 Rh 2.66-2.67
Te: 0.1611 0.4954 0.6205  3 Rh 2.66-2.68
Te: 0.1709 0.1709 0.3798  3 Rh 2.66-2.67
Te: 0.3176 0.3176 0.8841  1 Ni 2.57, 2 Rh 2.67
Te: 0.3308 0.0043 0.1163  1 Ni 2.60, 2 Rh 2.66-2.67
Te: 0.4954 0.1611 0.6205  3 Rh 2.66-2.68
Te: 0.5046 0.8389 0.3795  3 Rh 2.66-2.68
Te: 0.6692 0.9957 0.8837  1 Ni 2.60, 2 Rh 2.66-2.67
Te: 0.6824 0.6824 0.1159  1 Ni 2.57, 2 Rh 2.67
Te: 0.8291 0.8291 0.6202  3 Rh 2.66-2.67
Te: 0.8389 0.5046 0.3795  3 Rh 2.66-2.68
Te: 0.9957 0.6692 0.8837  1 Ni 2.60, 2 Rh 2.66-2.67
Rh: 0.1665 0.8335 0.5000  6 Te 2.66-2.67
Rh: 0.3341 0.6659 0.0000  6 Te 2.66-2.67
Rh: 0.5000 0.5000 0.5000  6 Te 2.66-2.68
Rh: 0.6659 0.3341 0.0000  6 Te 2.66-2.67
Rh: 0.8335 0.1665 0.5000  6 Te 2.66-2.67

(3)
Material: NiTe2Rh
Method: DFT, PBE
State: relaxed

Values from the calculation:
Symmetry = P4mm (99)
Formation energy without anion corrections = -0.19 eV/atom
Crystal system = tetragonal
Magnetization = 0.00 μB/f.u.

Cell: 3.4667 3.4667 7.2882 Å, 90.00 90.00 90.00°
Last column: nearest neighbours and their distance in Å.
Fractional coordinates of all 4 atoms:
Ni: 0.0000 0.0000 0.0000  5 Te 2.62-2.68, 4 Rh 2.87
Te: 0.0000 0.0000 0.3601  1 Ni 2.62, 4 Rh 2.70
Te: 0.5000 0.5000 0.8499  1 Rh 2.59, 4 Ni 2.68
Rh: 0.5000 0.5000 0.2056  5 Te 2.59-2.70, 4 Ni 2.87

(4)
Material: Ni2TeRh
Method: DFT, PBE
State: relaxed

Values from the calculation:
Symmetry = I4/mmm (139)
Formation energy without anion corrections = 0.08 eV/atom
Crystal system = tetragonal
Magnetization = 0.62 μB/f.u.

Cell: 4.6966 4.6966 4.6966 Å, 131.25 131.25 71.42°
Last column: nearest neighbours and their distance in Å.
Fractional coordinates of all 4 atoms:
Ni: 0.2500 0.7500 0.5000  4 Rh 2.72, 4 Te 2.72, 4 Ni 2.74
Ni: 0.7500 0.2500 0.5000  4 Rh 2.72, 4 Te 2.72, 4 Ni 2.74
Te: 0.0000 0.0000 0.0000  8 Ni 2.72, 4 Rh 2.74
Rh: 0.5000 0.5000 0.0000  8 Ni 2.72, 4 Te 2.74

(5)
Material: Ni2Te2Rh
Method: DFT, PBE
State: relaxed

Values from the calculation:
Symmetry = I4/mmm (139)
Formation energy without anion corrections = 0.09 eV/atom
Crystal system = tetragonal
Magnetization = 0.00 μB/f.u.

Cell: 7.6811 7.6811 7.6811 Å, 153.99 153.99 37.11°
Last column: nearest neighbours and their distance in Å.
Fractional coordinates of all 5 atoms:
Ni: 0.2500 0.7500 0.5000  4 Ni 2.44, 4 Te 2.61
Ni: 0.7500 0.2500 0.5000  4 Ni 2.44, 4 Te 2.61
Te: 0.1154 0.1154 0.0000  4 Ni 2.61
Te: 0.8846 0.8846 0.0000  4 Ni 2.61
Rh: 0.5000 0.5000 0.0000  8 Te 2.97

(6)
Material: NiTe2Rh
Method: DFT, PBE
State: relaxed

Values from the calculation:
Symmetry = R-3m (166)
Formation energy without anion corrections = 0.06 eV/atom
Crystal system = trigonal
Magnetization = 0.58 μB/f.u.

Cell: 8.0306 8.0306 8.0306 Å, 27.97 27.97 27.97°
Last column: nearest neighbours and their distance in Å.
Fractional coordinates of all 4 atoms:
Ni: 0.0000 0.0000 0.0000  2 Te 2.42
Te: 0.1046 0.1046 0.1046  1 Ni 2.42, 3 Rh 2.66
Te: 0.8954 0.8954 0.8954  1 Ni 2.42, 3 Rh 2.66
Rh: 0.5000 0.5000 0.5000  6 Te 2.66

(7)
Material: NiTe2Rh
Method: DFT, PBE
State: relaxed

Values from the calculation:
Symmetry = Imm2 (44)
Formation energy without anion corrections = -0.05 eV/atom
Crystal system = orthorhombic
Magnetization = 0.00 μB/f.u.

Cell: 7.5838 7.5838 7.5838 Å, 154.94 151.61 38.23°
Last column: nearest neighbours and their distance in Å.
Fractional coordinates of all 4 atoms:
Ni: 0.0000 0.0000 0.0000  4 Te 2.57, 2 Rh 2.59
Te: 0.5451 0.5451 0.0000  4 Ni 2.57
Te: 0.7911 0.2911 0.5000  4 Rh 2.76
Rh: 0.3746 0.8746 0.5000  2 Ni 2.59, 4 Te 2.76

(8)
Material: NiTe2Rh
Method: DFT, PBE
State: relaxed

Values from the calculation:
Symmetry = C2/m (12)
Formation energy without anion corrections = 0.11 eV/atom
Crystal system = monoclinic
Magnetization = 0.00 μB/f.u.

Cell: 4.6919 4.6919 3.3572 Å, 90.10 90.10 91.02°
Last column: nearest neighbours and their distance in Å.
Fractional coordinates of all 4 atoms:
Ni: 0.0000 0.0000 0.0000  8 Te 2.88-2.89
Te: 0.0000 0.5000 0.5000  4 Rh 2.88-2.89, 4 Ni 2.88-2.89
Te: 0.5000 0.0000 0.5000  4 Rh 2.88-2.89, 4 Ni 2.88-2.89
Rh: 0.5000 0.5000 0.0000  8 Te 2.88-2.89